The following is a GGA-PBE calculation of a geometry-optimized Mn2BeCl structure, from the Alexandria database.

```
Mn2BeCl
1.0
2.0297 -2.0375 0.0000
2.0297 2.0375 0.0000
0.0000 0.0000 6.6041
Mn Be Cl
2 1 1
Direct
0.0000 0.0000 0.2027
0.0000 0.0000 0.7973
0.5000 0.5000 0.0000
0.5000 0.5000 0.5000
```

Output
The value obtained for the total DFT energy (no corrections) is -5.78 eV per atom. The value obtained for the energy above the lowest structure with this stoichiometry is 70 meV/atom. The value obtained for the uncorrected formation energy is 19.2 kJ/mol of atoms.